[1]
Entry from Alexandria via LeMat-Bulk: CePmZnSn after structural relaxation (GGA-PBE).

The structure in extended XYZ format:
```
4
Lattice="5.322 0.000 0.000 2.661 4.609 0.000 2.661 1.536 4.345" Properties=species:S:1:pos:R:3 pbc="T T T"
Zn 7.983 4.609 3.259
Sn 2.661 1.536 1.086
Ce 5.322 3.073 2.173
Pm 0.000 0.000 0.000
```

Output
Formation energy from the elements in eV per atom: -0.442
Crystal system: cubic

=====

[2]
Entry from Alexandria via LeMat-Bulk: Sr3CePm2Te6 after structural relaxation (GGA-PBE).

The structure in extended XYZ format:
```
12
Lattice="7.892 0.002 0.001 -3.942 6.837 0.001 -1.317 -2.280 7.655" Properties=species:S:1:pos:R:3 pbc="T T T"
Sr -2.630 4.559 3.828
Sr 5.263 0.000 3.828
Sr 1.317 2.280 3.828
Ce 0.000 0.000 0.000
Pm 0.004 4.558 0.001
Pm 3.946 2.282 0.001
Te 3.954 2.269 5.820
Te 2.627 4.549 1.835
Te -1.321 2.290 1.837
Te -0.011 4.559 5.820
Te 0.006 0.011 5.821
Te 2.644 0.000 1.837
```

Output
Formation energy (no corrections) in eV/atom: -1.531
Crystal system: monoclinic

=====

[3]
Entry from Alexandria via LeMat-Bulk: Sr3Ce2PmTe6 after structural relaxation (GGA-PBE).

The structure in extended XYZ format:
```
12
Lattice="4.565 0.000 0.000 0.000 9.308 0.203 -2.283 -2.817 9.721" Properties=species:S:1:pos:R:3 pbc="T T T"
Sr 2.283 4.654 0.101
Sr 2.283 -0.332 6.516
Sr 0.000 6.823 3.408
Ce 2.283 4.329 6.615
Ce 0.000 2.162 3.308
Pm 2.283 0.000 0.000
Te 0.000 6.603 6.720
Te 2.283 4.439 3.391
Te 2.283 -0.112 3.203
Te 0.000 2.252 0.084
Te 2.283 4.240 9.840
Te 0.000 2.052 6.533
```

Output
Formation energy (no corrections) in eV/atom: -1.516
Crystal system: monoclinic

=====

[4]
Entry from Alexandria via LeMat-Bulk: SrCe2Pm3Te6 after structural relaxation (GGA-PBE).

The structure in extended XYZ format:
```
12
Lattice="-1.086 1.096 4.212 -1.337 -8.780 1.941 10.066 0.857 -0.017" Properties=species:S:1:pos:R:3 pbc="T T T"
Sr -0.543 0.548 2.106
Ce 4.856 -4.327 4.767
Ce 2.787 -2.500 1.369
Pm -1.211 -3.842 3.076
Pm 5.602 -0.031 3.841
Pm 2.042 -6.796 2.295
Te 5.071 -7.130 3.163
Te 1.813 -4.113 3.926
Te 2.572 0.303 2.973
Te -0.312 -2.248 0.505
Te 7.955 -4.579 5.631
Te 5.830 -2.714 2.209
```

Output
Formation energy (no corrections) in eV/atom: -1.439
Crystal system: monoclinic

=====

[5]
Entry from Alexandria via LeMat-Bulk: Ce2PmTa after structural relaxation (GGA-PBE).

The structure in extended XYZ format:
```
4
Lattice="-1.973 -1.720 1.740 0.969 -1.223 2.729 -3.934 8.938 7.214" Properties=species:S:1:pos:R:3 pbc="T T T"
Pm -2.469 2.997 5.842
Ce -3.085 6.599 5.864
Ce -1.853 -0.604 5.819
Ta 0.000 0.000 0.000
```

Output
Formation energy from the elements in eV per atom: 0.511
Crystal system: trigonal

=====

[6]
Entry from Alexandria via LeMat-Bulk: CePm2Ta after structural relaxation (GGA-PBE).

The structure in extended XYZ format:
```
4
Lattice="-0.700 3.137 -0.271 -3.073 0.980 0.075 -0.590 2.553 11.866" Properties=species:S:1:pos:R:3 pbc="T T T"
Pm -0.754 2.262 8.928
Pm -3.608 4.408 2.742
Ce -2.181 3.335 5.835
Ta 0.000 0.000 0.000
```

Output
Formation energy from the elements in eV per atom: 0.640
Crystal system: trigonal

=====

[7]
Entry from Alexandria via LeMat-Bulk: TbCe2Pm after structural relaxation (GGA-PBE).

The structure in extended XYZ format:
```
4
Lattice="3.486 0.000 0.000 0.000 3.486 0.000 0.000 0.000 10.238" Properties=species:S:1:pos:R:3 pbc="T T T"
Tb 1.743 1.743 0.000
Ce 0.000 0.000 7.701
Ce 0.000 0.000 2.537
Pm 1.743 1.743 5.119
```

Output
Polymorph energy (0 for the lowest one) in eV per atom: 0.014
Formation energy from the elements in eV per atom: 0.116
Crystal system: tetragonal

=====

[8]
Entry from Alexandria via LeMat-Bulk: TbCePm4 after structural relaxation (GGA-PBE).

The structure in extended XYZ format:
```
12
Lattice="6.716 0.000 0.000 0.000 11.750 0.000 -3.358 -5.875 5.128" Properties=species:S:1:pos:R:3 pbc="T T T"
Tb 1.679 -2.937 2.564
Tb -1.679 -2.937 2.564
Ce 3.358 5.875 0.000
Ce 3.358 0.000 0.000
Pm 3.358 5.903 3.418
Pm -1.670 2.937 4.308
Pm 1.670 2.937 4.308
Pm 3.358 -0.028 3.418
Pm 0.000 5.903 1.709
Pm 5.028 2.937 0.819
Pm 1.688 2.937 0.819
Pm 0.000 -0.028 1.709
```

Output
Polymorph energy (0 for the lowest one) in eV per atom: 0.046
Formation energy from the elements in eV per atom: 0.259
Crystal system: orthorhombic

=====

M_tot across the listed records, respectively: 0.979 1.498 2.829 2.438 0.001 0.000 1.536 2.902 μB/cell.
Calculated total energy across the listed records, respectively: -17.73 -57.71 -58.71 -63.91 -26.43 -24.73 -20.79 -28.01 eV per formula unit.